SiP2W | PBE-GGA | relaxed

extended XYZ file:
```
4
Lattice="4.331 0.000 0.000 0.000 3.274 -0.187 0.000 -0.295 4.354" Properties=species:S:1:pos:R:3 pbc="T T T"
W 2.166 2.234 3.125
P 0.000 1.994 1.954
P 0.000 2.769 -0.057
Si 2.166 0.745 1.042
```

Computed properties:
**N(E_F)**: 0.4091 states/eV/atom
**Symmetry**: P2/m
**E_tot**: -7.03 eV/atom